[1]
# PuHBr3 GGA-PBE optimized geometry
data_PuHBr3
_cell_length_a 7.857
_cell_length_b 9.447
_cell_length_c 9.849
_cell_angle_alpha 90.00
_cell_angle_beta 90.00
_cell_angle_gamma 90.00
_space_group_name_H-M_alt 'I m m a'
_space_group_IT_number 74
_space_group_name_Hall '-I 2b 2'
loop_
_atom_site_label
_atom_site_fract_x
_atom_site_fract_y
_atom_site_fract_z
Pu1 0.250 0.250 0.250
H1 0.000 0.250 0.159
Br1 0.000 0.250 0.459
Br2 0.250 0.031 0.750
# - Calculated total energy: -5.38 eV per atom
# - Total magnetic moment: 16.0 μB per cell

***

[2]
# Tb2TeH GGA-PBE optimized geometry
data_Tb2TeH
_cell_length_a 3.8728
_cell_length_b 3.8728
_cell_length_c 21.0017
_cell_angle_alpha 90.00
_cell_angle_beta 90.00
_cell_angle_gamma 120.00
_space_group_name_H-M_alt 'R -3 m'
_space_group_IT_number 166
_space_group_name_Hall '-R 3 2"'
loop_
_atom_site_label
_atom_site_fract_x
_atom_site_fract_y
_atom_site_fract_z
Tb1 0.0000 0.0000 0.2312
Te1 0.0000 0.0000 0.0000
H1 0.0000 0.0000 0.5000
# - Calculated total energy: -4.66 eV per atom
# - Total magnetic moment: 0.0 μB per cell

***

[3]
# PmSiTc2C GGA-PBE optimized geometry
data_PmSiTc2C
_cell_length_a 3.956
_cell_length_b 10.994
_cell_length_c 7.365
_cell_angle_alpha 90.00
_cell_angle_beta 90.00
_cell_angle_gamma 90.00
_space_group_name_H-M_alt 'C m c m'
_space_group_IT_number 63
_space_group_name_Hall '-C 2c 2'
loop_
_atom_site_label
_atom_site_fract_x
_atom_site_fract_y
_atom_site_fract_z
Pm1 0.000 0.044 0.250
Si1 0.000 0.233 0.750
Tc1 0.000 0.328 0.060
C1 0.000 0.500 0.000
# - Calculated total energy: -8.53 eV per atom
# - Total magnetic moment: 0.0 μB per cell
# - E_form (uncorrected): -0.503 eV per atom

***

[4]
# Tm2ThHg GGA-PBE optimized geometry
data_Tm2ThHg
_cell_length_a 3.581
_cell_length_b 3.581
_cell_length_c 8.698
_cell_angle_alpha 90.00
_cell_angle_beta 90.00
_cell_angle_gamma 90.00
_space_group_name_H-M_alt 'P 4/m m m'
_space_group_IT_number 123
_space_group_name_Hall '-P 4 2'
loop_
_atom_site_label
_atom_site_fract_x
_atom_site_fract_y
_atom_site_fract_z
Tm1 0.000 0.000 0.223
Th1 0.500 0.500 0.500
Hg1 0.500 0.500 0.000
# - Calculated total energy: -4.42 eV per atom
# - Total magnetic moment: 0.0 μB per cell
# - Energy of formation from the pure elements: -97 kJ/mol of formula units

***

[5]
# Sr2H6IrRh GGA-PBE optimized geometry
data_Sr2H6IrRh
_cell_length_a 5.368
_cell_length_b 5.368
_cell_length_c 7.534
_cell_angle_alpha 90.00
_cell_angle_beta 90.00
_cell_angle_gamma 90.00
_space_group_name_H-M_alt 'I 4/m m m'
_space_group_IT_number 139
_space_group_name_Hall '-I 4 2'
loop_
_atom_site_label
_atom_site_fract_x
_atom_site_fract_y
_atom_site_fract_z
Sr1 0.000 0.500 0.250
H1 0.000 0.000 0.243
H2 0.242 0.242 0.000
Ir1 0.000 0.000 0.000
Rh1 0.000 0.000 0.500
# - Calculated total energy: -4.49 eV per atom
# - Total magnetic moment: 0.0 μB per cell

***

[6]
# Ba2OsCl GGA-PBE optimized geometry
data_Ba2OsCl
_cell_length_a 4.4492
_cell_length_b 4.4492
_cell_length_c 24.3739
_cell_angle_alpha 90.00
_cell_angle_beta 90.00
_cell_angle_gamma 120.00
_space_group_name_H-M_alt 'R -3 m'
_space_group_IT_number 166
_space_group_name_Hall '-R 3 2"'
loop_
_atom_site_label
_atom_site_fract_x
_atom_site_fract_y
_atom_site_fract_z
Ba1 0.0000 0.0000 0.2426
Os1 0.0000 0.0000 0.5000
Cl1 0.0000 0.0000 0.0000
# - Calculated total energy: -4.49 eV per atom
# - Total magnetic moment: 3.1 μB per cell
# - E_form (uncorrected): -0.258 eV per atom